[1]
Material: InAg2Ir
Method: DFT, PBE-GGA
State: relaxed

Lattice parameters (Å, degrees): 3.078 4.941 9.502 90.00 90.00 90.00
Space group Cmm2 (No. 35)
Inequivalent atoms, fractional coordinates:
In  0.000  0.000  0.000 x2
Ag  0.000  0.000  0.483 x2
Ag  0.000  0.500  0.734 x2
Ir  0.000  0.500  0.236 x2

Computed properties:
The total energy comes out at -4.0609 eV/atom. The calculation puts the density of states at the Fermi level at 0.712 states/eV per atom. The value obtained for the energy of formation from the pure elements is 1.1 eV/f.u.



[2]
Material: Ba3WAu
Method: DFT, PBE-GGA
State: relaxed

Lattice parameters (Å, degrees): 5.950 5.950 5.950 90.00 90.00 90.00
Space group Pm-3m (No. 221)
Inequivalent atoms, fractional coordinates:
Ba  0.000  0.000  0.500 x3
W  0.000  0.000  0.000 x1
Au  0.500  0.500  0.500 x1

Computed properties:
The total energy comes out at -3.6322 eV/atom. The calculation puts the relative energy among the computed polymorphs at 0.0000 eV per atom. The calculation puts the density of states at the Fermi level at 0.635 states/eV per atom. The value obtained for the energy of formation from the pure elements is 3.8 eV/f.u.



[3]
Material: TmHfAlTc
Method: DFT, PBE-GGA
State: relaxed

Lattice parameters (Å, degrees): 6.766 6.766 6.766 90.00 90.00 90.00
Space group F-43m (No. 216)
Inequivalent atoms, fractional coordinates:
Tm  0.000  0.000  0.000 x4
Hf  0.000  0.000  0.500 x4
Al  0.250  0.250  0.250 x4
Tc  0.250  0.250  0.750 x4

Computed properties:
The total energy comes out at -7.4250 eV/atom. The calculation puts the density of states at the Fermi level at 0.502 states/eV per atom. The value obtained for the energy of formation from the pure elements is -1.2 eV/f.u.



[4]
Material: Na3Pa3TcN8
Method: DFT, PBE-GGA
State: relaxed

Lattice parameters (Å, degrees): 6.8547 6.8547 17.1332 90.00 90.00 120.00
Space group R-3m (No. 166, hexagonal axes)
Inequivalent atoms, fractional coordinates:
Na  0.0000  0.5000  0.0000 x9
Pa  0.0000  0.5000  0.5000 x9
Tc  0.0000  0.0000  0.5000 x3
N  0.0000  0.0000  0.2318 x6
N  0.0233  0.5116  0.2259 x18

Computed properties:
The formation energy (no corrections) is -0.8402 eV/atom. The total energy comes out at -8.1345 eV/atom. The calculation puts the density of states at the Fermi level at 0.181 states/eV per atom.



[5]
Material: LaCu2
Method: DFT, PBE-GGA
State: relaxed

Lattice parameters (Å, degrees): 5.051 5.051 9.609 90.00 90.00 90.00
Space group I4/mcm (No. 140)
Inequivalent atoms, fractional coordinates:
La  0.000  0.000  0.250 x4
Cu  0.165  0.335  0.000 x8

Computed properties:
The total energy comes out at -4.3741 eV/atom. The calculation puts the density of states at the Fermi level at 0.958 states/eV per atom. The value obtained for the energy of formation from the pure elements is 0.0 eV/f.u.



[6]
Material: SrY2Ta
Method: DFT, PBE-GGA
State: relaxed

Lattice parameters (Å, degrees): 3.313 5.311 7.056 90.00 90.13 90.00
Space group Pm (No. 6)
Inequivalent atoms, fractional coordinates:
Sr  0.000  0.000  0.000 x1
Y  0.497  0.500  0.705 x1
Y  0.500  0.000  0.453 x1
Ta  0.997  0.500  0.326 x1

Computed properties:
The total energy comes out at -6.0484 eV/atom. The calculation puts the relative energy among the computed polymorphs at 0.2084 eV per atom. The calculation puts the density of states at the Fermi level at 1.367 states/eV per atom. The value obtained for the energy of formation from the pure elements is 2.3 eV/f.u.



[7]
Material: KNiC2
Method: DFT, PBE-GGA
State: relaxed

Lattice parameters (Å, degrees): 5.788 5.788 5.788 90.00 90.00 90.00
Space group Fm-3m (No. 225)
Inequivalent atoms, fractional coordinates:
K  0.000  0.000  0.000 x4
Ni  0.000  0.000  0.500 x4
C  0.250  0.250  0.250 x8

Computed properties:
The total energy comes out at -3.7860 eV/atom. The calculation puts the relative energy among the computed polymorphs at 1.3336 eV per atom. The calculation puts the density of states at the Fermi level at 0.834 states/eV per atom. The value obtained for the energy of formation from the pure elements is 10.2 eV/f.u.



[8]
Material: AcHoSn2
Method: DFT, PBE-GGA
State: relaxed

Lattice parameters (Å, degrees): 4.2828 4.2828 25.5841 90.00 90.00 120.00
Space group R-3m (No. 166, hexagonal axes)
Inequivalent atoms, fractional coordinates:
Ac  0.0000  0.0000  0.0000 x3
Ho  0.0000  0.0000  0.5000 x3
Sn  0.0000  0.0000  0.2424 x6

Computed properties:
The total energy comes out at -4.6422 eV/atom. The calculation puts the density of states at the Fermi level at 1.219 states/eV per atom. The value obtained for the energy of formation from the pure elements is -1.9 eV/f.u.



[9]
Material: BaBrCl2
Method: DFT, PBE-GGA
State: relaxed

Lattice parameters (Å, degrees): 5.0182 5.0182 25.2768 90.00 90.00 120.00
Space group R-3m (No. 166, hexagonal axes)
Inequivalent atoms, fractional coordinates:
Ba  0.0000  0.0000  0.0000 x3
Br  0.0000  0.0000  0.5000 x3
Cl  0.0000  0.0000  0.3802 x6

Computed properties:
The formation energy (no corrections) is -1.5764 eV/atom. The total energy comes out at -3.3986 eV/atom. The calculation puts the relative energy among the computed polymorphs at 0.1274 eV per atom. The calculation puts the density of states at the Fermi level at 0.000 states/eV per atom.



[10]
Material: CsNpBr6
Method: DFT, PBE-GGA
State: relaxed

Lattice parameters (Å, degrees): 10.8764 10.8764 9.7882 90.00 90.00 120.00
Space group R-3m (No. 166, hexagonal axes)
Inequivalent atoms, fractional coordinates:
Cs  0.0000  0.0000  0.0000 x3
Np  0.0000  0.0000  0.5000 x3
Br  0.1013  0.5507  0.3275 x18

Computed properties:
The formation energy (no corrections) is -1.3035 eV/atom. The total energy comes out at -4.2824 eV/atom. The calculation puts the relative energy among the computed polymorphs at 0.0000 eV per atom. The calculation puts the density of states at the Fermi level at 1.020 states/eV per atom.



[11]
Material: TiNbCoBr
Method: DFT, PBE-GGA
State: relaxed

Lattice parameters (Å, degrees): 3.7061 3.7061 20.6244 90.00 90.00 120.00
Space group R3m (No. 160, hexagonal axes)
Inequivalent atoms, fractional coordinates:
Ti  0.0000  0.0000  0.0000 x3
Nb  0.0000  0.0000  0.4373 x3
Co  0.0000  0.0000  0.7212 x3
Br  0.0000  0.0000  0.5696 x3

Computed properties:
The formation energy (no corrections) is -0.1792 eV/atom. The total energy comes out at -6.8650 eV/atom. The calculation puts the relative energy among the computed polymorphs at 0.0251 eV per atom. The calculation puts the density of states at the Fermi level at 0.540 states/eV per atom.



[12]
Material: BiBH3
Method: DFT, PBE-GGA
State: relaxed

Lattice parameters (Å, degrees): 4.126 4.126 4.126 90.00 90.00 90.00
Space group Pm-3m (No. 221)
Inequivalent atoms, fractional coordinates:
Bi  0.000  0.000  0.000 x1
B  0.500  0.500  0.500 x1
H  0.000  0.000  0.500 x3

Computed properties:
The total energy comes out at -2.6751 eV/atom. The calculation puts the relative energy among the computed polymorphs at 0.4418 eV per atom. The calculation puts the density of states at the Fermi level at 0.434 states/eV per atom.